(1)
Below is crystalline KIrPd at its relaxed geometry, with properties calculated at the PBE level.

Output
The calculation puts the calculated density at 7.7 g/cm³. The crystal system is cubic. Its total energy is -9.4 eV/cell. As for the space group: F-43m (216). As for the energy above the most stable polymorph in this dataset: 719 meV per atom. The spin magnetization is 1.5 μB per cell.

Cell and atoms, written as CIF:
```
data_KIrPd
_chemical_formula_sum 'K1 Ir1 Pd1'
_cell_length_a 4.678
_cell_length_b 4.678
_cell_length_c 4.678
_cell_angle_alpha 60.00
_cell_angle_beta 60.00
_cell_angle_gamma 60.00
_symmetry_space_group_name_H-M 'P 1'
_symmetry_Int_Tables_number 1
_symmetry_space_group_name_Hall 'P 1'
loop_
_atom_site_label
_atom_site_type_symbol
_atom_site_fract_x
_atom_site_fract_y
_atom_site_fract_z
Ir1 Ir 0.250 0.250 0.250
K1 K 0.000 0.000 0.000
Pd1 Pd 0.750 0.750 0.750
```

(2)
Below is crystalline KIrPdSe3 at its relaxed geometry, with properties calculated at the PBE level.

Output
The calculation puts the calculated density at 6.5 g/cm³. The crystal system is monoclinic. Its total energy is -56.7 eV/cell. As for the space group: P2_1/m (11). The spin magnetization is 0.0 μB per cell.

Cell and atoms, written as CIF:
```
data_KIrPdSe3
_chemical_formula_sum 'K2 Ir2 Pd2 Se6'
_cell_length_a 8.140
_cell_length_b 3.896
_cell_length_c 9.657
_cell_angle_alpha 90.00
_cell_angle_beta 106.67
_cell_angle_gamma 90.00
_symmetry_space_group_name_H-M 'P 1'
_symmetry_Int_Tables_number 1
_symmetry_space_group_name_Hall 'P 1'
loop_
_atom_site_label
_atom_site_type_symbol
_atom_site_fract_x
_atom_site_fract_y
_atom_site_fract_z
Ir1 Ir 0.828 0.250 0.357
Ir2 Ir 0.172 0.750 0.643
K1 K 0.277 0.250 0.234
K2 K 0.723 0.750 0.766
Pd1 Pd 0.592 0.750 0.083
Pd2 Pd 0.408 0.250 0.917
Se1 Se 0.776 0.250 0.086
Se2 Se 0.631 0.750 0.364
Se3 Se 0.034 0.750 0.374
Se4 Se 0.966 0.250 0.626
Se5 Se 0.369 0.250 0.636
Se6 Se 0.224 0.750 0.914
```

> Number 2 is which compound?

KIrPdSe3